# 1
# Ca2MgP2H4O10 (PBEsol, relaxed)
data_Ca2MgP2H4O10
_chemical_formula_sum 'Ca2 Mg1 P2 H4 O10'
_space_group_name_H-M_alt 'P -1'
_space_group_IT_number 2
_cell_length_a 5.441
_cell_length_b 5.705
_cell_length_c 6.782
_cell_angle_alpha 107.73
_cell_angle_beta 97.03
_cell_angle_gamma 108.80
loop_
_space_group_symop_operation_xyz
'x,y,z'
'-x,-y,-z'
loop_
_atom_site_label
_atom_site_fract_x
_atom_site_fract_y
_atom_site_fract_z
Ca1 0.152 0.298 0.264
Mg1 0.500 0.000 0.500
P1 0.166 0.338 0.745
H1 0.348 0.871 0.098
H2 0.418 0.828 0.817
O1 0.094 0.745 0.431
O2 0.136 0.163 0.879
O3 0.221 0.631 0.885
O4 0.398 0.338 0.630
O5 0.429 0.049 0.222
# - Magnetization: 0.00 μB per formula unit
# - Final energy: -6.68 eV/atom
# - DOS(E_F): 0.00 states/eV/cell

# 2
# Ca3MnH12S2O17 (PBEsol, relaxed)
data_Ca3MnH12S2O17
_chemical_formula_sum 'Ca6 Mn2 H24 S4 O34'
_space_group_name_H-M_alt 'P 63/m m c'
_space_group_IT_number 194
_space_group_name_Hall '-P 6c 2c'
_cell_length_a 8.4110
_cell_length_b 8.4110
_cell_length_c 10.7448
_cell_angle_alpha 90.00
_cell_angle_beta 90.00
_cell_angle_gamma 120.00
loop_
_atom_site_label
_atom_site_fract_x
_atom_site_fract_y
_atom_site_fract_z
Ca1 0.1503 0.3006 0.2500
Mn1 0.0000 0.0000 0.0000
H1 0.1048 0.5524 0.6798
H2 0.1576 0.3152 0.5551
S1 0.3333 0.6667 0.0229
O1 0.0155 0.5078 0.7500
O2 0.1025 0.2049 0.6100
O3 0.2369 0.4738 0.0657
O4 0.3333 0.6667 0.6160
# - Magnetization: 3.00 μB per formula unit
# - Final energy: -6.05 eV/atom
# - DOS(E_F): 0.00 states/eV/cell